Density functional theory data (PBE) for a relaxed SiMo2Pt crystal.

Calculated values
Raw total energy = -8.392 eV/atom

The structure in extended XYZ format:
```
4
Lattice="1.691 -2.185 0.000 1.691 2.185 0.000 0.000 0.000 8.164" Properties=species:S:1:pos:R:3 pbc="T T T"
Si 0.000 0.000 0.000
Mo 0.000 0.000 4.098
Mo 1.691 0.000 1.929
Pt 1.691 0.000 6.354
```